[1]
AgRhI2N: optimized geometry, GGA-PBE.

Calculated values
* D(E_F): 6.4 states/eV per cell
* space-group type: P4/mmm (123)
* total moment: 4.22 μB/cell
* total DFT energy (no corrections): -2.949 eV/atom
* crystal system: tetragonal
* raw formation energy: 1.38 eV/atom

Cell: 5.7563 5.7563 4.0274 Å, 90.00 90.00 90.00°
Last column: nearest neighbours and their distance in Å.
Fractional coordinates of all 5 atoms:
Ag: 0.0000 0.0000 0.0000  2 N 2.01
Rh: 0.5000 0.5000 0.5000  8 I 3.51
I: 0.0000 0.5000 0.0000  2 Ag 2.88
I: 0.5000 0.0000 0.0000  2 Ag 2.88
N: 0.0000 0.0000 0.5000  2 Ag 2.01

***

[2]
AgRhI2N: optimized geometry, GGA-PBE.

Calculated values
* D(E_F): 2.6 states/eV per cell
* space-group type: P4/mmm (123)
* total moment: 0.00 μB/cell
* total DFT energy (no corrections): -3.927 eV/atom
* crystal system: tetragonal
* raw formation energy: 0.40 eV/atom

Cell: 5.6977 5.6977 3.7105 Å, 90.00 90.00 90.00°
Last column: nearest neighbours and their distance in Å.
Fractional coordinates of all 5 atoms:
Ag: 0.0000 0.0000 0.0000  8 I 3.40, 2 Ag 3.71
Rh: 0.5000 0.5000 0.5000  2 N 1.86
I: 0.0000 0.5000 0.5000  2 Rh 2.85
I: 0.5000 0.0000 0.5000  2 Rh 2.85
N: 0.5000 0.5000 0.0000  2 Rh 1.86

***

[3]
AgRhIN2: optimized geometry, GGA-PBE.

Calculated values
* D(E_F): 2.1 states/eV per cell
* space-group type: P4/mmm (123)
* total moment: 0.36 μB/cell
* total DFT energy (no corrections): -4.656 eV/atom
* crystal system: tetragonal
* raw formation energy: 1.02 eV/atom

Cell: 3.8480 3.8480 8.3452 Å, 90.00 90.00 90.00°
Last column: nearest neighbours and their distance in Å.
Fractional coordinates of all 5 atoms:
Ag: 0.0000 0.0000 0.0000  4 I 2.72
Rh: 0.5000 0.5000 0.5000  4 N 1.92
I: 0.5000 0.5000 0.0000  4 Ag 2.72
N: 0.0000 0.5000 0.5000  2 Rh 1.92
N: 0.5000 0.0000 0.5000  2 Rh 1.92

***

[4]
AgRuI2N: optimized geometry, GGA-PBE.

Calculated values
* D(E_F): 3.4 states/eV per cell
* space-group type: P4/mmm (123)
* total moment: 0.64 μB/cell
* total DFT energy (no corrections): -3.879 eV/atom
* crystal system: tetragonal
* raw formation energy: 0.83 eV/atom

Cell: 5.7309 5.7309 3.7059 Å, 90.00 90.00 90.00°
Last column: nearest neighbours and their distance in Å.
Fractional coordinates of all 5 atoms:
Ag: 0.0000 0.0000 0.0000  8 I 3.41, 2 Ag 3.71
Ru: 0.5000 0.5000 0.0000  2 N 1.85
I: 0.0000 0.5000 0.5000  2 N 2.87
I: 0.5000 0.0000 0.5000  2 N 2.87
N: 0.5000 0.5000 0.5000  2 Ru 1.85

***

[5]
AgRuI2N: optimized geometry, GGA-PBE.

Calculated values
* D(E_F): 6.4 states/eV per cell
* space-group type: P4/mmm (123)
* total moment: 3.29 μB/cell
* total DFT energy (no corrections): -3.061 eV/atom
* crystal system: tetragonal
* raw formation energy: 1.65 eV/atom

Cell: 5.8614 5.8614 3.8521 Å, 90.00 90.00 90.00°
Last column: nearest neighbours and their distance in Å.
Fractional coordinates of all 5 atoms:
Ag: 0.0000 0.0000 0.0000  2 N 1.93
Ru: 0.5000 0.5000 0.5000  8 I 3.51, 2 Ru 3.85
I: 0.0000 0.5000 0.0000  2 Ag 2.93
I: 0.5000 0.0000 0.0000  2 Ag 2.93
N: 0.0000 0.0000 0.5000  2 Ag 1.93

***

[6]
AgRuI2N: optimized geometry, GGA-PBE.

Calculated values
* D(E_F): 2.5 states/eV per cell
* space-group type: P4/mmm (123)
* total moment: 0.00 μB/cell
* total DFT energy (no corrections): -4.335 eV/atom
* crystal system: tetragonal
* raw formation energy: 0.38 eV/atom

Cell: 5.6140 5.6140 3.7212 Å, 90.00 90.00 90.00°
Last column: nearest neighbours and their distance in Å.
Fractional coordinates of all 5 atoms:
Ag: 0.0000 0.0000 0.0000  8 I 3.37, 2 Ag 3.72
Ru: 0.5000 0.5000 0.5000  2 N 1.86
I: 0.0000 0.5000 0.5000  2 Ru 2.81
I: 0.5000 0.0000 0.5000  2 Ru 2.81
N: 0.5000 0.5000 0.0000  2 Ru 1.86

***

[7]
AgSI2N: optimized geometry, GGA-PBE.

Calculated values
* D(E_F): 1.9 states/eV per cell
* space-group type: P4/mmm (123)
* total moment: 0.00 μB/cell
* total DFT energy (no corrections): -2.921 eV/atom
* crystal system: tetragonal
* raw formation energy: 0.76 eV/atom

Cell: 6.1475 6.1475 3.3646 Å, 90.00 90.00 90.00°
Last column: nearest neighbours and their distance in Å.
Fractional coordinates of all 5 atoms:
Ag: 0.0000 0.0000 0.0000  2 Ag 3.36, 8 I 3.50
S: 0.5000 0.5000 0.5000  2 N 1.68
I: 0.0000 0.5000 0.5000  2 S 3.07, 2 I 3.36
I: 0.5000 0.0000 0.5000  2 S 3.07, 2 I 3.36
N: 0.5000 0.5000 0.0000  2 S 1.68

***

[8]
AgSI2N: optimized geometry, GGA-PBE.

Calculated values
* D(E_F): 5.8 states/eV per cell
* space-group type: P4/mmm (123)
* total moment: 2.97 μB/cell
* total DFT energy (no corrections): -2.363 eV/atom
* crystal system: tetragonal
* raw formation energy: 1.32 eV/atom

Cell: 5.7522 5.7522 4.0801 Å, 90.00 90.00 90.00°
Last column: nearest neighbours and their distance in Å.
Fractional coordinates of all 5 atoms:
Ag: 0.0000 0.0000 0.0000  2 N 2.04
S: 0.5000 0.5000 0.5000  8 I 3.53
I: 0.0000 0.5000 0.0000  2 Ag 2.88
I: 0.5000 0.0000 0.0000  2 Ag 2.88
N: 0.0000 0.0000 0.5000  2 Ag 2.04

***

[9]
AgSbI2N: optimized geometry, GGA-PBE.

Calculated values
* D(E_F): 12.6 states/eV per cell
* space-group type: P4/mmm (123)
* total moment: 0.00 μB/cell
* total DFT energy (no corrections): -1.956 eV/atom
* crystal system: tetragonal
* raw formation energy: 1.72 eV/atom

Cell: 5.5575 5.5575 5.4242 Å, 90.00 90.00 90.00°
Last column: nearest neighbours and their distance in Å.
Fractional coordinates of all 5 atoms:
Ag: 0.0000 0.0000 0.0000  2 Sb 2.71, 4 I 2.78
Sb: 0.0000 0.0000 0.5000  2 Ag 2.71
I: 0.0000 0.5000 0.0000  2 Ag 2.78
I: 0.5000 0.0000 0.0000  2 Ag 2.78
N: 0.5000 0.5000 0.5000  8 I 3.88, 4 Sb 3.93

***

[10]
AgSb2IN: optimized geometry, GGA-PBE.

Calculated values
* D(E_F): 9.1 states/eV per cell
* space-group type: P4/mmm (123)
* total moment: 0.00 μB/cell
* total DFT energy (no corrections): -2.385 eV/atom
* crystal system: tetragonal
* raw formation energy: 1.81 eV/atom

Cell: 5.3705 5.3705 5.4442 Å, 90.00 90.00 90.00°
Last column: nearest neighbours and their distance in Å.
Fractional coordinates of all 5 atoms:
Ag: 0.0000 0.0000 0.0000  4 Sb 2.69, 2 I 2.72
Sb: 0.0000 0.5000 0.0000  2 Ag 2.69
Sb: 0.5000 0.0000 0.0000  2 Ag 2.69
I: 0.0000 0.0000 0.5000  2 Ag 2.72
N: 0.5000 0.5000 0.5000  4 I 3.80, 8 Sb 3.82

***

[11]
AgSbIN2: optimized geometry, GGA-PBE.

Calculated values
* D(E_F): 2.0 states/eV per cell
* space-group type: P4/mmm (123)
* total moment: 1.11 μB/cell
* total DFT energy (no corrections): -3.898 eV/atom
* crystal system: tetragonal
* raw formation energy: 1.14 eV/atom

Cell: 4.0842 4.0842 7.2555 Å, 90.00 90.00 90.00°
Last column: nearest neighbours and their distance in Å.
Fractional coordinates of all 5 atoms:
Ag: 0.0000 0.0000 0.0000  4 I 2.89
Sb: 0.5000 0.5000 0.5000  4 N 2.04
I: 0.5000 0.5000 0.0000  4 Ag 2.89
N: 0.0000 0.5000 0.5000  2 Sb 2.04
N: 0.5000 0.0000 0.5000  2 Sb 2.04

***

[12]
AgSbI2N: optimized geometry, GGA-PBE.

Calculated values
* D(E_F): 0.6 states/eV per cell
* space-group type: P4/mmm (123)
* total moment: 0.00 μB/cell
* total DFT energy (no corrections): -3.043 eV/atom
* crystal system: tetragonal
* raw formation energy: 0.64 eV/atom

Cell: 6.1938 6.1938 3.9739 Å, 90.00 90.00 90.00°
Last column: nearest neighbours and their distance in Å.
Fractional coordinates of all 5 atoms:
Ag: 0.0000 0.0000 0.0000  8 I 3.68, 2 Ag 3.97
Sb: 0.5000 0.5000 0.5000  2 N 1.99
I: 0.0000 0.5000 0.5000  2 Sb 3.10
I: 0.5000 0.0000 0.5000  2 Sb 3.10
N: 0.5000 0.5000 0.0000  2 Sb 1.99

***

[13]
AgSbI2N: optimized geometry, GGA-PBE.

Calculated values
* D(E_F): 5.4 states/eV per cell
* space-group type: P4/mmm (123)
* total moment: 0.00 μB/cell
* total DFT energy (no corrections): -2.621 eV/atom
* crystal system: tetragonal
* raw formation energy: 1.06 eV/atom

Cell: 5.9740 5.9740 3.8810 Å, 90.00 90.00 90.00°
Last column: nearest neighbours and their distance in Å.
Fractional coordinates of all 5 atoms:
Ag: 0.0000 0.0000 0.0000  2 N 1.94
Sb: 0.5000 0.5000 0.5000  8 I 3.56, 2 Sb 3.88
I: 0.0000 0.5000 0.0000  2 Ag 2.99
I: 0.5000 0.0000 0.0000  2 Ag 2.99
N: 0.0000 0.0000 0.5000  2 Ag 1.94

***

[14]
AgSbIN2: optimized geometry, GGA-PBE.

Calculated values
* D(E_F): 2.6 states/eV per cell
* space-group type: P4/mmm (123)
* total moment: 3.23 μB/cell
* total DFT energy (no corrections): -3.187 eV/atom
* crystal system: tetragonal
* raw formation energy: 1.85 eV/atom

Cell: 4.3619 4.3619 6.3759 Å, 90.00 90.00 90.00°
Last column: nearest neighbours and their distance in Å.
Fractional coordinates of all 5 atoms:
Ag: 0.0000 0.0000 0.0000  4 N 2.18
Sb: 0.5000 0.5000 0.5000  4 I 3.08
I: 0.0000 0.0000 0.5000  4 Sb 3.08, 2 Ag 3.19
N: 0.0000 0.5000 0.0000  2 Ag 2.18
N: 0.5000 0.0000 0.0000  2 Ag 2.18

***

[15]
AgSbI2N: optimized geometry, GGA-PBE.

Calculated values
* D(E_F): 3.8 states/eV per cell
* space-group type: P4/mmm (123)
* total moment: 0.00 μB/cell
* total DFT energy (no corrections): -2.723 eV/atom
* crystal system: tetragonal
* raw formation energy: 0.96 eV/atom

Cell: 4.9353 4.9353 4.9821 Å, 90.00 90.00 90.00°
Last column: nearest neighbours and their distance in Å.
Fractional coordinates of all 5 atoms:
Ag: 0.0000 0.0000 0.0000  4 Sb 3.49, 8 I 3.51
Sb: 0.5000 0.5000 0.0000  2 N 2.49
I: 0.0000 0.5000 0.5000  2 N 2.47
I: 0.5000 0.0000 0.5000  2 N 2.47
N: 0.5000 0.5000 0.5000  4 I 2.47, 2 Sb 2.49

***

[16]
AgSb2IN: optimized geometry, GGA-PBE.

Calculated values
* D(E_F): 2.5 states/eV per cell
* space-group type: P4/mmm (123)
* total moment: 0.00 μB/cell
* total DFT energy (no corrections): -3.361 eV/atom
* crystal system: tetragonal
* raw formation energy: 0.83 eV/atom

Cell: 4.8596 4.8596 4.8025 Å, 90.00 90.00 90.00°
Last column: nearest neighbours and their distance in Å.
Fractional coordinates of all 5 atoms:
Ag: 0.0000 0.0000 0.0000  8 Sb 3.42, 4 I 3.44
Sb: 0.0000 0.5000 0.5000  2 N 2.43
Sb: 0.5000 0.0000 0.5000  2 N 2.43
I: 0.5000 0.5000 0.0000  2 N 2.40
N: 0.5000 0.5000 0.5000  2 I 2.40, 4 Sb 2.43

***

[17]
AgSe2IN: optimized geometry, GGA-PBE.

Calculated values
* D(E_F): 5.5 states/eV per cell
* space-group type: P4/mmm (123)
* total moment: 0.74 μB/cell
* total DFT energy (no corrections): -2.662 eV/atom
* crystal system: tetragonal
* raw formation energy: 1.28 eV/atom

Cell: 5.5508 5.5508 3.9505 Å, 90.00 90.00 90.00°
Last column: nearest neighbours and their distance in Å.
Fractional coordinates of all 5 atoms:
Ag: 0.0000 0.0000 0.0000  8 Se 3.41
Se: 0.0000 0.5000 0.5000  2 I 2.78
Se: 0.5000 0.0000 0.5000  2 I 2.78
I: 0.5000 0.5000 0.5000  2 N 1.98
N: 0.5000 0.5000 0.0000  2 I 1.98

***

[18]
AgSe2IN: optimized geometry, GGA-PBE.

Calculated values
* D(E_F): 2.3 states/eV per cell
* space-group type: P4/mmm (123)
* total moment: 2.06 μB/cell
* total DFT energy (no corrections): -2.761 eV/atom
* crystal system: tetragonal
* raw formation energy: 1.18 eV/atom

Cell: 5.3234 5.3234 4.0917 Å, 90.00 90.00 90.00°
Last column: nearest neighbours and their distance in Å.
Fractional coordinates of all 5 atoms:
Ag: 0.0000 0.0000 0.0000  2 N 2.05
Se: 0.0000 0.5000 0.0000  2 Ag 2.66
Se: 0.5000 0.0000 0.0000  2 Ag 2.66
I: 0.5000 0.5000 0.5000  8 Se 3.36
N: 0.0000 0.0000 0.5000  2 Ag 2.05

***

[19]
AgSeI2N: optimized geometry, GGA-PBE.

Calculated values
* D(E_F): 4.9 states/eV per cell
* space-group type: P4/mmm (123)
* total moment: 2.24 μB/cell
* total DFT energy (no corrections): -2.399 eV/atom
* crystal system: tetragonal
* raw formation energy: 1.15 eV/atom

Cell: 5.7940 5.7940 4.0835 Å, 90.00 90.00 90.00°
Last column: nearest neighbours and their distance in Å.
Fractional coordinates of all 5 atoms:
Ag: 0.0000 0.0000 0.0000  2 N 2.04
Se: 0.5000 0.5000 0.5000  8 I 3.54
I: 0.0000 0.5000 0.0000  2 Ag 2.90
I: 0.5000 0.0000 0.0000  2 Ag 2.90
N: 0.0000 0.0000 0.5000  2 Ag 2.04

***

[20]
AgSeI2N: optimized geometry, GGA-PBE.

Calculated values
* D(E_F): 1.3 states/eV per cell
* space-group type: P4/mmm (123)
* total moment: 0.00 μB/cell
* total DFT energy (no corrections): -2.768 eV/atom
* crystal system: tetragonal
* raw formation energy: 0.78 eV/atom

Cell: 6.0259 6.0259 3.7092 Å, 90.00 90.00 90.00°
Last column: nearest neighbours and their distance in Å.
Fractional coordinates of all 5 atoms:
Ag: 0.0000 0.0000 0.0000  8 I 3.54, 2 Ag 3.71
Se: 0.5000 0.5000 0.5000  2 N 1.85
I: 0.0000 0.5000 0.5000  2 Se 3.01
I: 0.5000 0.0000 0.5000  2 Se 3.01
N: 0.5000 0.5000 0.0000  2 Se 1.85